No. 1
MgSc2HPt (PBE, optimized geometry); calculated density = 6.61 g/cm³; density of states at the Fermi level = 2.5 states/eV/cell; spin magnetization = 0.0 Bohr magnetons per cell; calculated total energy = -26.63 eV/cell; crystal system = tetragonal
1.0
-3.461 2.382 -1.399
-0.270 -2.523 -3.629
-2.468 -2.470 1.900
Sc H Mg Pt
2 1 1 1
Cartesian
-0.135 -1.261 -1.815
-1.730 1.191 -0.699
0.000 0.000 0.000
-1.234 -1.235 0.950
-3.099 -1.305 -1.564

---

No. 2
Mg2SiHPt6 (PBE, optimized geometry); calculated density = 13.29 g/cm³; density of states at the Fermi level = 2.5 states/eV/cell; spin magnetization = 0.0 Bohr magnetons per cell; calculated total energy = -53.51 eV/cell; crystal system = triclinic
1.0
-4.619 -2.200 -2.091
2.344 -6.131 1.277
-2.543 -5.040 3.623
Mg Si H Pt
2 1 1 6
Cartesian
-4.089 -6.242 0.974
-0.729 -7.129 1.835
0.000 0.000 0.000
-1.137 -4.165 -0.407
-1.889 -4.377 1.452
-4.294 -11.071 2.850
-1.976 -9.976 3.906
-2.842 -3.395 -1.098
-0.524 -2.300 -0.042
-2.929 -8.994 1.357

---

Number 1 is which compound?
MgSc2HPt

---

calculated total energy of number 1 (MgSc2HPt)?
-26.63 eV/cell